Entry 1:
# TlAgHgRh

An optimized crystal structure of TlAgHgRh (PBE-GGA, Alexandria).

a = 6.745 Å, b = 6.745 Å, c = 6.745 Å
α = 90.00°, β = 90.00°, γ = 90.00°
Space group F-43m (No. 216)
Inequivalent atoms, fractional coordinates:
Tl 0.000 0.000 0.000 x4
Ag 0.250 0.250 0.250 x4
Hg 0.000 0.000 0.500 x4
Rh 0.250 0.250 0.750 x4

Results
Crystal system = cubic
Energy of formation from the pure elements = 0.183 eV/atom
N(E_F) = 9.70 states/eV/cell
Total magnetic moment = 0.00 Bohr magnetons per cell

Entry 2:
# CeZnCuPt3

An optimized crystal structure of CeZnCuPt3 (PBE-GGA, Alexandria).

a = 5.596 Å, b = 13.222 Å, c = 5.726 Å
α = 90.00°, β = 90.00°, γ = 90.00°
Space group Cmcm (No. 63)
Inequivalent atoms, fractional coordinates:
Ce 0.000 0.174 0.250 x4
Zn 0.000 0.129 0.750 x4
Cu 0.000 0.377 0.250 x4
Pt 0.000 0.323 0.750 x4
Pt 0.249 0.500 0.000 x8

Results
Crystal system = orthorhombic
Energy of formation from the pure elements = -0.513 eV/atom
N(E_F) = 15.81 states/eV/cell
Total magnetic moment = 0.00 Bohr magnetons per cell

Entry 3:
# Os3Rh

An optimized crystal structure of Os3Rh (PBE-GGA, Alexandria).

a = 5.451 Å, b = 7.712 Å, c = 2.719 Å
α = 90.00°, β = 90.00°, γ = 90.00°
Space group Cmmm (No. 65)
Inequivalent atoms, fractional coordinates:
Os 0.000 0.000 0.000 x2
Os 0.250 0.250 0.500 x4
Rh 0.000 0.500 0.000 x2

Results
Crystal system = orthorhombic
Energy of formation from the pure elements = 0.127 eV/atom
N(E_F) = 7.18 states/eV/cell
Total magnetic moment = 0.00 Bohr magnetons per cell

Entry 4:
# HfTaReMo

An optimized crystal structure of HfTaReMo (PBE-GGA, Alexandria).

a = 6.501 Å, b = 6.501 Å, c = 6.501 Å
α = 90.00°, β = 90.00°, γ = 90.00°
Space group F-43m (No. 216)
Inequivalent atoms, fractional coordinates:
Hf 0.000 0.000 0.000 x4
Ta 0.000 0.000 0.500 x4
Re 0.250 0.250 0.250 x4
Mo 0.250 0.250 0.750 x4

Results
Crystal system = cubic
Energy of formation from the pure elements = -0.268 eV/atom
N(E_F) = 12.95 states/eV/cell
Total magnetic moment = 0.00 Bohr magnetons per cell

Entry 5:
# KSrCr2

An optimized crystal structure of KSrCr2 (PBE-GGA, Alexandria).

a = 3.874 Å, b = 5.843 Å, c = 12.264 Å
α = 90.00°, β = 90.00°, γ = 90.00°
Space group Imm2 (No. 44)
Inequivalent atoms, fractional coordinates:
K 0.000 0.000 0.000 x2
Sr 0.000 0.500 0.795 x2
Cr 0.000 0.000 0.555 x2
Cr 0.000 0.500 0.235 x2

Results
Crystal system = orthorhombic
Relative energy among the computed polymorphs = 8.412 kcal/mol of atoms
Energy of formation from the pure elements = 1.046 eV/atom
N(E_F) = 6.16 states/eV/cell
Total magnetic moment = 19.36 Bohr magnetons per cell

Entry 6:
# Rb3CeHo3S8

An optimized crystal structure of Rb3CeHo3S8 (PBE-GGA, Alexandria).

a = 8.0840 Å, b = 8.0840 Å, c = 23.4107 Å
α = 90.00°, β = 90.00°, γ = 120.00°
Space group R-3m (No. 166, hexagonal axes)
Inequivalent atoms, fractional coordinates:
Rb 0.0000 0.5000 0.0000 x9
Ce 0.0000 0.0000 0.5000 x3
Ho 0.0000 0.5000 0.5000 x9
S 0.0000 0.0000 0.2297 x6
S 0.0006 0.5003 0.2288 x18

Results
Crystal system = trigonal
E_form (uncorrected) = -2679 kJ/mol of formula units
Total magnetic moment = 0.00 Bohr magnetons per cell

Entry 7:
# BeBiHPbN

An optimized crystal structure of BeBiHPbN (PBE-GGA, Alexandria).

a = 11.381 Å, b = 3.120 Å, c = 6.501 Å
α = 90.00°, β = 122.21°, γ = 90.00°
Space group Cm (No. 8)
Inequivalent atoms, fractional coordinates:
Be 0.000 0.000 0.000 x2
Bi 0.230 0.500 0.474 x2
H 0.464 0.500 0.746 x2
Pb 0.282 0.000 0.022 x2
N 0.012 0.500 0.106 x2

Results
Crystal system = monoclinic
Relative energy among the computed polymorphs = 5.333 kcal/mol of atoms
N(E_F) = 2.52 states/eV/cell
Total magnetic moment = 0.00 Bohr magnetons per cell

Entry 8:
# LaHg2Au9

An optimized crystal structure of LaHg2Au9 (PBE-GGA, Alexandria).

a = 5.6812 Å, b = 5.6812 Å, c = 27.3996 Å
α = 90.00°, β = 90.00°, γ = 120.00°
Space group R-3m (No. 166, hexagonal axes)
Inequivalent atoms, fractional coordinates:
La 0.0000 0.0000 0.0000 x3
Hg 0.0000 0.0000 0.1383 x6
Au 0.0000 0.0000 0.3332 x6
Au 0.0000 0.0000 0.5000 x3
Au 0.0042 0.5021 0.9153 x18

Results
Crystal system = trigonal
Energy of formation from the pure elements = -0.208 eV/atom
N(E_F) = 25.33 states/eV/cell
Total magnetic moment = 0.00 Bohr magnetons per cell

> Number 6 is which compound?

Rb3CeHo3S8

> What is the total magnetic moment in the fifth record?

19.36 Bohr magnetons per cell

> Look up the total magnetic moment of the seventh one.

0.00 Bohr magnetons per cell